Compound: Pr2TeH2S
Source: Alexandria via LeMat-Bulk
Functional: PBE-GGA
Structure: relaxed

Computed properties:
- crystal system = trigonal
- uncorrected energy (eV per cell) = -31.589

Cell lengths 4.074, 4.074, 8.190 Å; angles 90.00, 90.00, 120.00 degrees
Fractional coordinates of all 6 atoms:
Pr1 0.333 0.667 0.726
Pr2 0.667 0.333 0.274
Te1 0.000 0.000 0.000
H1 0.333 0.667 0.265
H2 0.667 0.333 0.735
S1 0.000 0.000 0.500